1.
This record from Alexandria via LeMat-Bulk describes a crystal of Y3CrSn relaxed with PBEsol. The functional is SCAN.

Formation energy from the elements: 164.0 meV per atom
Density: 5.64 g/cm³
ΔE to the lowest computed polymorph: 0.000 eV per atom
Calculated total energy: -137.01 eV per formula unit

Cell and atoms, written as POSCAR:
```
Y3CrSn
1.0
-1.217 3.719 3.195
-3.735 -2.836 1.878
3.176 -1.909 3.433
Y Cr Sn
3 1 1
Direct
0.000 0.500 0.000 Y
0.000 0.000 0.500 Y
0.500 0.000 0.000 Y
0.000 0.000 0.000 Cr
0.500 0.500 0.500 Sn
```

2.
This record from Alexandria via LeMat-Bulk describes a crystal of BaGaGe relaxed with PBEsol. The functional is SCAN.

Formation energy from the elements: -603.9 meV per atom
Density: 5.74 g/cm³
Calculated total energy: -76.80 eV per formula unit

Cell and atoms, written as POSCAR:
```
BaGaGe
1.0
4.307 0.000 0.000
-2.154 3.730 0.000
0.000 0.000 20.155
Ge Ba Ga
4 4 4
Direct
0.333 0.667 0.617 Ge
0.667 0.333 0.117 Ge
0.667 0.333 0.383 Ge
0.333 0.667 0.883 Ge
0.000 0.000 0.000 Ba
0.000 0.000 0.500 Ba
0.000 0.000 0.250 Ba
0.000 0.000 0.750 Ba
0.333 0.667 0.136 Ga
0.667 0.333 0.636 Ga
0.667 0.333 0.864 Ga
0.333 0.667 0.364 Ga
```

3.
This record from Alexandria via LeMat-Bulk describes a crystal of BeP2W relaxed with PBEsol. The functional is SCAN.

Formation energy from the elements: -150.2 meV per atom
Density: 7.94 g/cm³
Calculated total energy: -95.44 eV per formula unit

Cell and atoms, written as POSCAR:
```
BeP2W
1.0
-1.861 -2.548 -0.092
0.023 -0.131 3.163
-3.375 4.413 0.207
P W Be
2 1 1
Direct
0.956 0.500 0.912 P
0.235 0.000 0.471 P
0.561 0.000 0.122 W
0.748 0.500 0.496 Be
```

Question: The lowest density belongs to which entry?
Answer: Y3CrSn

Copy entry 2 word for word.
This record from Alexandria via LeMat-Bulk describes a crystal of BaGaGe relaxed with PBEsol. The functional is SCAN.

Formation energy from the elements: -603.9 meV per atom
Density: 5.74 g/cm³
Calculated total energy: -76.80 eV per formula unit

Cell and atoms, written as POSCAR:
```
BaGaGe
1.0
4.307 0.000 0.000
-2.154 3.730 0.000
0.000 0.000 20.155
Ge Ba Ga
4 4 4
Direct
0.333 0.667 0.617 Ge
0.667 0.333 0.117 Ge
0.667 0.333 0.383 Ge
0.333 0.667 0.883 Ge
0.000 0.000 0.000 Ba
0.000 0.000 0.500 Ba
0.000 0.000 0.250 Ba
0.000 0.000 0.750 Ba
0.333 0.667 0.136 Ga
0.667 0.333 0.636 Ga
0.667 0.333 0.864 Ga
0.333 0.667 0.364 Ga
```

Question: Which of these has the lowest density?
Answer: Y3CrSn

Question: Among the records above, which one has the lowest formation energy from the elements?
Answer: BaGaGe